The following is a DFT calculation (PBE) of crystalline La3Nd4PuSe8 at its relaxed geometry.

Raw formation energy (eV per atom): -1.866
VASP energy (eV for the cell shown): -105.923
DOS(E_F) (states/eV per cell): 16.3
Space-group type: R-3m, No. 166

Unit cell a=8.499 b=8.499 c=8.499 alpha=60.12 beta=60.12 gamma=60.12
Atoms (fractional coordinates):
La 0.000 0.500 0.500
La 0.500 0.000 0.500
La 0.500 0.500 0.000
Nd 0.000 0.000 0.500
Nd 0.000 0.500 0.000
Nd 0.500 0.000 0.000
Nd 0.500 0.500 0.500
Pu 0.000 0.000 0.000
Se 0.244 0.753 0.753
Se 0.247 0.247 0.756
Se 0.247 0.756 0.247
Se 0.248 0.248 0.248
Se 0.752 0.752 0.752
Se 0.753 0.244 0.753
Se 0.753 0.753 0.244
Se 0.756 0.247 0.247